The following is a PBE-GGA calculation of an optimized crystal structure of CuTcPt4, from the Alexandria database.

Computed properties:
- Space group: F-43m (216)
- DFT formation energy: 1.8 eV per formula unit
- Polymorph energy (0 for the lowest one): 480 meV/atom
- DOS(E_F): 0.686 states/eV/atom

The structure in POSCAR format:
```
CuTcPt4
1.0
4.115 -2.141 2.406
-0.635 -4.242 2.985
1.848 -4.619 -1.597
Pt Cu Tc
4 1 1
direct
0.375 0.375 0.375
0.876 0.375 0.375
0.375 0.876 0.375
0.375 0.375 0.876
0.000 0.000 0.000
0.750 0.750 0.750
```